Entry 1:
{
  "formula": "TlSn7Au3",
  "functional": "GGA-PBE",
  "state": "relaxed",
  "lattice": [[8.066, 0.000, 4.344], [2.863, 7.540, 4.344], [0.093, 0.064, 9.488]],
  "species": ["Sn", "Au", "Au", "Au", "Sn", "Sn", "Tl", "Sn", "Sn", "Au", "Sn", "Sn", "Au", "Sn", "Au", "Sn", "Sn", "Sn", "Sn", "Sn", "Tl", "Sn"],
  "frac_coords": [[0.832, 0.649, 0.099], [0.439, 0.061, 0.750], [0.061, 0.750, 0.750], [0.750, 0.439, 0.750], [0.921, 0.149, 0.599], [0.079, 0.851, 0.401], [0.500, 0.500, 0.500], [0.421, 0.832, 0.099], [0.750, 0.750, 0.750], [0.939, 0.250, 0.250], [0.649, 0.421, 0.099], [0.332, 0.921, 0.599], [0.561, 0.939, 0.250], [0.250, 0.250, 0.250], [0.250, 0.561, 0.250], [0.168, 0.351, 0.901], [0.579, 0.168, 0.901], [0.851, 0.668, 0.401], [0.668, 0.079, 0.401], [0.149, 0.332, 0.599], [0.000, 0.000, 0.000], [0.351, 0.579, 0.901]],
  "energy_ev_per_fu": -41.0,
  "space_group": "R-3c",
  "total_magnetization_mub_per_cell": 0.00,
  "dos_at_fermi_per_ev_cell": 6.73,
  "formation_energy_ev_per_fu": -0.81
}

Entry 2:
{
  "formula": "TlSn2Au",
  "functional": "GGA-PBE",
  "state": "relaxed",
  "lattice": [[3.537, 0.000, 0.000], [0.000, 3.537, 0.000], [0.000, 0.000, 8.261]],
  "species": ["Tl", "Au", "Sn", "Sn"],
  "frac_coords": [[0.500, 0.500, 0.500], [0.500, 0.500, 0.000], [0.000, 0.000, 0.205], [0.000, 0.000, 0.795]],
  "energy_ev_per_fu": -13.8,
  "space_group": "P4/mmm",
  "total_magnetization_mub_per_cell": 0.00,
  "dos_at_fermi_per_ev_cell": 1.97,
  "formation_energy_ev_per_fu": -0.16
}

Which formula does entry 2 have?
TlSn2Au